Crystalline GaSiNi6 at its relaxed geometry, computed with PBEsol.

Its formation energy from raw total energies is -427 meV/atom. As for the density: 8772 kg/m3. The calculation puts the volume at 85 Å³/f.u.

The structure belongs to space group P4/mmm (No. 123); the cell edges are 3.493, 3.493 and 6.980 Å and the angles 90.00°, 90.00° and 90.00°. The inequivalent atoms are Ga at (0.000, 0.000, 0.000), Si at (0.000, 0.000, 0.500), Ni at (0.000, 0.500, 0.258), Ni at (0.500, 0.500, 0.000) and Ni at (0.500, 0.500, 0.500).